1.
DFT (PBE-GGA) results for a relaxed ErGePt crystal.

CIF file:
```
data_ErGePt
_chemical_formula_sum 'Er4 Ge4 Pt4'
_symmetry_space_group_name_H-M 'P m c 21'
_symmetry_Int_Tables_number 26
_cell_length_a 4.092
_cell_length_b 8.825
_cell_length_c 6.811
_cell_angle_alpha 90.00
_cell_angle_beta 90.00
_cell_angle_gamma 90.00
loop_
_symmetry_equiv_pos_as_xyz
'x,y,z'
'-x,-y,z+1/2'
'-x,y,z'
'x,-y,z+1/2'
loop_
_atom_site_label
_atom_site_type_symbol
_atom_site_fract_x
_atom_site_fract_y
_atom_site_fract_z
Er1 Er 0.000 0.090 0.000
Er2 Er 0.000 0.356 0.576
Ge1 Ge 0.500 0.115 0.678
Ge2 Ge 0.500 0.434 0.264
Pt1 Pt 0.500 0.158 0.309
Pt2 Pt 0.500 0.324 0.936
```

***

2.
DFT (PBE-GGA) results for a relaxed ErGePt2 crystal.

CIF file:
```
data_ErGePt2
_chemical_formula_sum 'Er3 Ge3 Pt6'
_symmetry_space_group_name_H-M 'R -3 m'
_symmetry_Int_Tables_number 166
_symmetry_space_group_name_Hall '-R 3 2"'
_cell_length_a 4.3842
_cell_length_b 4.3842
_cell_length_c 13.7564
_cell_angle_alpha 90.00
_cell_angle_beta 90.00
_cell_angle_gamma 120.00
loop_
_atom_site_label
_atom_site_type_symbol
_atom_site_fract_x
_atom_site_fract_y
_atom_site_fract_z
Er1 Er 0.0000 0.0000 0.0000
Ge1 Ge 0.0000 0.0000 0.5000
Pt1 Pt 0.0000 0.0000 0.2163
```

***

3.
DFT (PBE-GGA) results for a relaxed ErGe2Pt4 crystal.

CIF file:
```
data_ErGe2Pt4
_chemical_formula_sum 'Er4 Ge8 Pt16'
_symmetry_space_group_name_H-M 'P n m a'
_symmetry_Int_Tables_number 62
_cell_length_a 16.400
_cell_length_b 4.132
_cell_length_c 7.283
_cell_angle_alpha 90.00
_cell_angle_beta 90.00
_cell_angle_gamma 90.00
loop_
_symmetry_equiv_pos_as_xyz
'x,y,z'
'-x,-y,-z'
'-x+1/2,-y,z+1/2'
'x+1/2,y,-z+1/2'
'x+1/2,-y+1/2,-z+1/2'
'-x+1/2,y+1/2,z+1/2'
'-x,y+1/2,-z'
'x,-y+1/2,z'
loop_
_atom_site_label
_atom_site_type_symbol
_atom_site_fract_x
_atom_site_fract_y
_atom_site_fract_z
Er1 Er 0.149 0.250 0.074
Ge1 Ge 0.022 0.750 0.248
Ge2 Ge 0.187 0.250 0.626
Pt1 Pt 0.045 0.750 0.905
Pt2 Pt 0.054 0.250 0.440
Pt3 Pt 0.172 0.750 0.397
Pt4 Pt 0.215 0.750 0.827
```

***

Number 1: energy of formation -3.1 eV per formula unit. Number 2: energy of formation -3.5 eV per formula unit. Number 3: energy of formation -5.2 eV per formula unit.